Compound: Mg2RePt
Source: Alexandria
Functional: meta-GGA SCAN
Structure: single point on PBEsol structure

Geometry as extended XYZ:
```
4
Lattice="-3.2567 1.7033 1.3390 -1.4554 -3.5107 0.9259 4.0432 1.1903 2.6062" Properties=species:S:1:pos:R:3 pbc="T T T"
Mg -0.7848 0.9950 2.5389
Mg 0.1158 -1.6120 2.3323
Pt -2.3561 -0.9037 1.1325
Re 0.0000 0.0000 0.0000
```

Calculated values
Total magnetic moment: 0.00 μB/atom
VASP energy: -151.311 eV for the cell shown
Excess energy over the best structure of this formula in the dataset: 0 meV/atom